No. 1
A plane-wave DFT calculation with PBE was carried out for an optimized crystal structure of NaSr6Rh2.

abc: 7.8434 7.8434 10.7005
angles: 90.00 90.00 33.97
Sites, in units of the cell vectors:
Na 0.0000 0.0000 0.0000
Sr 0.1129 0.1129 0.3981
Sr 0.3126 0.3126 0.8680
Sr 0.3638 0.3638 0.3090
Sr 0.6362 0.6362 0.6910
Sr 0.6874 0.6874 0.1320
Sr 0.8871 0.8871 0.6019
Rh 0.2576 0.2576 0.5924
Rh 0.7424 0.7424 0.4076

Calculated values
Space-group type ... C2/m
Raw total energy ... -3.02 eV per atom
V ... 367.8 Å³ per cell
Energy above the lowest structure with this stoichiometry ... 32 meV/atom
ΔE_f ... -1.051 eV/f.u.



No. 2
A plane-wave DFT calculation with PBE was carried out for an optimized crystal structure of La6Si2N.

abc: 6.5901 8.1691 11.3673
angles: 90.00 122.83 90.00
Sites, in units of the cell vectors:
La 0.1142 0.1574 0.4491
La 0.1142 0.3426 0.9491
La 0.3097 0.7130 0.4446
La 0.3097 0.7870 0.9446
La 0.3653 0.0378 0.2468
La 0.3653 0.4622 0.7468
La 0.6347 0.5378 0.2532
La 0.6347 0.9622 0.7532
La 0.6903 0.2130 0.0554
La 0.6903 0.2870 0.5554
La 0.8858 0.6574 0.0509
La 0.8858 0.8426 0.5509
Si 0.1957 0.1120 0.7594
Si 0.1957 0.3880 0.2594
Si 0.8043 0.6120 0.7406
Si 0.8043 0.8880 0.2406
N 0.5000 0.0000 0.5000
N 0.5000 0.5000 0.0000

Calculated values
Space-group type ... P2_1/c
Raw total energy ... -6.06 eV per atom
V ... 514.2 Å³ per cell
Energy above the lowest structure with this stoichiometry ... 0 meV/atom
Formation energy from raw total energies ... -0.6451 eV/atom



No. 3
A plane-wave DFT calculation with PBE was carried out for an optimized crystal structure of TbScAgOs.

abc: 4.8284 4.8284 4.8284
angles: 60.00 60.00 60.00
Sites, in units of the cell vectors:
Tb 0.0000 0.0000 0.0000
Sc 0.5000 0.5000 0.5000
Ag 0.2500 0.2500 0.2500
Os 0.7500 0.7500 0.7500

Calculated values
Space-group type ... F-43m
Raw total energy ... -6.54 eV per atom
V ... 79.6 Å³ per cell
Energy above the lowest structure with this stoichiometry ... 80 meV/atom
ΔE_f ... -1.109 eV/f.u.



No. 4
A plane-wave DFT calculation with PBE was carried out for an optimized crystal structure of LiSiW2.

abc: 3.2543 3.2543 5.4485
angles: 90.00 90.00 90.00
Sites, in units of the cell vectors:
Li 0.0000 0.0000 0.0000
Si 0.0000 0.0000 0.5000
W 0.5000 0.5000 0.2712
W 0.5000 0.5000 0.7288

Calculated values
Space-group type ... P4/mmm
Raw total energy ... -7.97 eV per atom
V ... 57.7 Å³ per cell
Formation energy from raw total energies ... 0.3401 eV/atom



No. 5
A plane-wave DFT calculation with PBE was carried out for an optimized crystal structure of NbTe2Mo.

abc: 7.6478 7.6478 7.6478
angles: 131.81 131.81 70.53
Sites, in units of the cell vectors:
Nb 0.0000 0.0000 0.0000
Nb 0.7500 0.2500 0.5000
Te 0.1350 0.6250 0.0100
Te 0.3750 0.3850 0.5100
Te 0.6150 0.1250 0.9900
Te 0.8750 0.8650 0.4900
Mo 0.2500 0.7500 0.5000
Mo 0.5000 0.5000 0.0000

Calculated values
Space-group type ... I-42d
Raw total energy ... -6.10 eV per atom
V ... 243.5 Å³ per cell
Energy above the lowest structure with this stoichiometry ... 554 meV/atom
Formation energy from raw total energies ... 0.6991 eV/atom



No. 6
A plane-wave DFT calculation with PBE was carried out for an optimized crystal structure of Pb2Se.

abc: 6.2184 6.2184 8.0459
angles: 107.18 107.18 37.49
Sites, in units of the cell vectors:
Pb 0.1446 0.1446 0.0498
Pb 0.1473 0.1473 0.6155
Pb 0.8527 0.8527 0.3845
Pb 0.8554 0.8554 0.9502
Se 0.4900 0.4900 0.2536
Se 0.5100 0.5100 0.7464

Calculated values
Space-group type ... C2/m
Raw total energy ... -3.78 eV per atom
V ... 179.9 Å³ per cell
Energy above the lowest structure with this stoichiometry ... 90 meV/atom
Formation energy from raw total energies ... -0.1482 eV/atom



No. 7
A plane-wave DFT calculation with PBE was carried out for an optimized crystal structure of Mg2NiB2.

abc: 6.8431 6.8431 2.6372
angles: 90.00 90.00 90.00
Sites, in units of the cell vectors:
Mg 0.1371 0.3629 0.0000
Mg 0.3629 0.8629 0.0000
Mg 0.6371 0.1371 0.0000
Mg 0.8629 0.6371 0.0000
Ni 0.0000 0.0000 0.0000
Ni 0.5000 0.5000 0.0000
B 0.1659 0.6659 0.5000
B 0.3341 0.1659 0.5000
B 0.6659 0.8341 0.5000
B 0.8341 0.3341 0.5000

Calculated values
Space-group type ... P4/mbm
Raw total energy ... -3.55 eV per atom
V ... 123.5 Å³ per cell
Energy above the lowest structure with this stoichiometry ... 912 meV/atom
ΔE_f ... 4.598 eV/f.u.



No. 8
A plane-wave DFT calculation with PBE was carried out for an optimized crystal structure of Cd4AgAu.

abc: 4.6432 4.6432 6.6440
angles: 90.00 90.00 90.00
Sites, in units of the cell vectors:
Cd 0.0000 0.5000 0.2499
Cd 0.0000 0.5000 0.7501
Cd 0.5000 0.0000 0.2499
Cd 0.5000 0.0000 0.7501
Ag 0.0000 0.0000 0.0000
Au 0.5000 0.5000 0.5000

Calculated values
Space-group type ... P4/mmm
Raw total energy ... -1.69 eV per atom
V ... 143.2 Å³ per cell
Energy above the lowest structure with this stoichiometry ... 9 meV/atom
ΔE_f ... -0.369 eV/f.u.



Q: What is the V in the second record?
A: 514.2 Å³ per cell